# 1
Li5Tl | PBEsol | optimized geometry

Cell and atoms, written as POSCAR:
```
Li5Tl
1.0
4.3269 0.0000 0.0000
0.0000 4.2099 0.0000
-2.1634 0.0000 6.1348
Li Tl
5 1
Direct
0.8353 0.0000 0.6706
0.0000 0.5000 0.0000
0.1647 0.0000 0.3294
0.3402 0.5000 0.6804
0.6598 0.5000 0.3196
0.5000 0.0000 0.0000
```

**Size of the total moment**: 0.000 μB/atom
**ΔH_f (0 K)**: -0.159 eV/atom
**D(E_F)**: 2.9 states/eV/cell

=====

# 2
Zn3P2S8 | PBEsol | optimized geometry

Cell and atoms, written as POSCAR:
```
Zn3P2S8
1.0
-0.2106 -2.2498 7.3742
3.7873 -6.4557 -1.8614
7.8724 4.1854 1.5018
Zn S P
6 16 4
Direct
0.5000 0.5000 0.0000
0.5000 0.0000 0.0157
0.5000 0.0000 0.4843
0.0000 0.0000 0.5000
0.0000 0.5000 0.9843
0.0000 0.5000 0.5157
0.2477 0.5170 0.1402
0.7477 0.9830 0.6402
0.5170 0.7523 0.8598
0.7671 0.0292 0.1236
0.7329 0.5292 0.6236
0.2671 0.4708 0.6236
0.9830 0.2523 0.3598
0.9708 0.7671 0.8764
0.2523 0.0170 0.6402
0.0292 0.2329 0.8764
0.5292 0.2671 0.3764
0.4708 0.7329 0.3764
0.7523 0.4830 0.1402
0.4830 0.2477 0.8598
0.0170 0.7477 0.3598
0.2329 0.9708 0.1236
0.2433 0.2567 0.7500
0.7567 0.7433 0.7500
0.7433 0.2433 0.2500
0.2567 0.7567 0.2500
```

**Size of the total moment**: 0.000 μB/atom
**Formation energy (no corrections)**: -0.4711 eV/atom
**D(E_F)**: 0.0 states/eV/cell